## MgPaCo2O6 (PBE with a Hubbard U)

Data for MgPaCo2O6 after structural relaxation.

Calculated values
E, Ry/atom: -0.5043
Symmetry: P4mm, No. 99

a = 4.2680 Å, b = 5.9705 Å, c = 5.9705 Å
α = 90.00°, β = 90.00°, γ = 90.00°
Closest atoms and distances in Å follow each position.
Fractional positions:
O: 0.7472 0.7575 0.7575  1 Mg 2.05, 2 Co 2.12, 1 Pa 2.18
O: 0.7472 0.7575 0.2425  1 Mg 2.05, 2 Co 2.12, 1 Pa 2.18
O: 0.2079 0.5000 0.5000  2 Pa 2.10-2.16
O: 0.7472 0.2425 0.7575  1 Mg 2.05, 2 Co 2.12, 1 Pa 2.18
O: 0.2267 0.0000 0.0000  2 Mg 2.11-2.16
O: 0.7472 0.2425 0.2425  1 Mg 2.05, 2 Co 2.12, 1 Pa 2.18
Mg: 0.7203 0.0000 0.0000  6 O 2.05-2.16
Pa: 0.7009 0.5000 0.5000  6 O 2.10-2.18
Co: 0.8012 0.0000 0.5000  4 O 2.12
Co: 0.8012 0.5000 0.0000  4 O 2.12